Entry 1:
Ba3HRh (PBE, relaxed); electronic total energy = -3.242 eV/atom
1.0
5.3737 0.0000 0.0000
0.0000 5.3737 0.0000
0.0000 0.0000 5.3737
Ba H Rh
3 1 1
direct
0.0000 0.0000 0.5000
0.0000 0.5000 0.0000
0.5000 0.0000 0.0000
0.0000 0.0000 0.0000
0.5000 0.5000 0.5000

---

Entry 2:
Tl2SnAs2 (PBE, relaxed); E_form = 0.03 eV per atom; electronic total energy = -3.574 eV/atom
1.0
7.3155 0.0000 0.0000
0.0000 7.3155 0.0000
0.0000 0.0000 5.4023
Tl Sn As
4 2 4
direct
0.1816 0.3184 0.0000
0.3184 0.8184 0.0000
0.6816 0.1816 0.0000
0.8184 0.6816 0.0000
0.0000 0.0000 0.5000
0.5000 0.5000 0.5000
0.1177 0.6177 0.5000
0.3823 0.1177 0.5000
0.6177 0.8823 0.5000
0.8823 0.3823 0.5000

---

Entry 3:
Sn3HgF (PBE, relaxed); uncorrected formation energy = -299 meV/atom; electronic total energy = -3.135 eV/atom
1.0
5.0256 0.0000 0.0000
0.0000 5.0256 0.0000
0.0000 0.0000 5.0256
Sn Hg F
3 1 1
direct
0.0000 0.0000 0.5000
0.0000 0.5000 0.0000
0.5000 0.0000 0.0000
0.5000 0.5000 0.5000
0.0000 0.0000 0.0000

---

Entry 4:
HoAl2Au6 (PBE, relaxed); E_form = -0.40 eV per atom; electronic total energy = -3.921 eV/atom
1.0
6.2662 -3.5038 0.0000
6.2662 3.5038 0.0000
-1.4433 0.0000 4.2532
Ho Al Au
1 2 6
direct
0.0000 0.0000 0.0000
0.3127 0.3127 0.3063
0.6873 0.6873 0.6937
0.1195 0.5288 0.8184
0.2845 0.7155 0.5000
0.4712 0.8805 0.1816
0.5288 0.1195 0.8184
0.7155 0.2845 0.5000
0.8805 0.4712 0.1816

---

Q: Which value of electronic total energy does entry 2 give?
A: -3.574 eV/atom